# 1
First-principles (PBE) data for a relaxed structure of Pm3Ge4Pd4, as listed in Alexandria.

Computed properties:
- Fermi-level density of states: 0.62 states/eV/atom
- Size of the total moment: 0.0 μB per formula unit
- Calculated formation energy: -9.7 eV/f.u.

Cell lengths 4.0888, 4.3695, 25.3048 Å; angles 90.00, 90.00, 90.00 degrees
Closest atoms and distances in Å follow each position.
Space group Immm (No. 71)
Unique sites:
Pm (0.0000, 0.0000, 0.0000) [2 per cell]  4 Pd 3.17, 8 Ge 3.24
Pm (0.0000, 0.5000, 0.1468) [4 per cell]  6 Ge 3.20-3.22, 8 Pd 3.26-3.43
Ge (0.0000, 0.0000, 0.4506) [4 per cell]  2 Pd 2.48, 1 Ge 2.50
Ge (0.0000, 0.5000, 0.3061) [4 per cell]  5 Pd 2.48-2.59
Pd (0.0000, 0.0000, 0.2510) [4 per cell]  4 Ge 2.50-2.59
Pd (0.0000, 0.5000, 0.4041) [4 per cell]  3 Ge 2.48

# 2
First-principles (PBE) data for a relaxed structure of Pm6GePd5, as listed in Alexandria.

Computed properties:
- Fermi-level density of states: 0.48 states/eV/atom
- Size of the total moment: 0.0 μB per formula unit
- Calculated formation energy: -7.9 eV/f.u.

Cell lengths 7.3031, 12.6003, 7.2898 Å; angles 90.00, 109.35, 90.00 degrees
Closest atoms and distances in Å follow each position.
Space group C2/m (No. 12)
Unique sites:
Pm (0.2450, 0.0000, 0.2508) [4 per cell]  5 Pd 2.94-2.97, 1 Ge 3.01
Pm (0.2457, 0.1691, 0.7463) [8 per cell]  5 Pd 2.96-2.98, 1 Ge 3.02
Ge (0.0000, 0.5000, 0.0000) [2 per cell]  6 Pm 3.01-3.02
Pd (0.0000, 0.0000, 0.5000) [2 per cell]  6 Pm 2.94-2.97
Pd (0.0000, 0.1677, 0.0000) [4 per cell]  6 Pm 2.97
Pd (0.0000, 0.3366, 0.5000) [4 per cell]  6 Pm 2.96-2.98

# 3
First-principles (PBE) data for a relaxed structure of Pm4Ge2Pd5, as listed in Alexandria.

Computed properties:
- Fermi-level density of states: 0.49 states/eV/atom
- Size of the total moment: 0.0 μB per formula unit
- Calculated formation energy: -9.1 eV/f.u.

Cell lengths 7.0116, 4.0875, 8.3843 Å; angles 90.00, 92.14, 90.00 degrees
Closest atoms and distances in Å follow each position.
Space group P2/m (No. 10)
Unique sites:
Pm (0.2365, 0.0000, 0.3804) [2 per cell]  6 Pd 2.91-3.12, 2 Ge 3.07
Pm (0.2552, 0.0000, 0.8859) [2 per cell]  4 Pd 2.98-3.02, 4 Ge 3.14-3.17
Ge (0.0854, 0.5000, 0.1331) [2 per cell]  1 Ge 2.49, 2 Pd 2.53-2.56
Pd (0.1413, 0.5000, 0.6345) [2 per cell]  1 Ge 2.56, 1 Pd 2.79
Pd (0.4451, 0.5000, 0.1666) [2 per cell]  1 Ge 2.53, 1 Pd 2.81
Pd (0.5000, 0.5000, 0.5000) [1 per cell]  4 Pd 2.79-2.81, 4 Pm 2.91